Record 1
VASP calculation (PBE) on a geometry-optimized La2NdSm4Ho structure. Values from VASP.

```
&SYSTEM
  ibrav = 0, nat = 8, ntyp = 4
/
ATOMIC_SPECIES
La 138.91 La.upf
Nd 144.24 Nd.upf
Sm 150.36 Sm.upf
Ho 164.93 Ho.upf
CELL_PARAMETERS angstrom
5.160 0.000 0.000
0.000 5.175 0.000
-0.014 0.000 10.343
ATOMIC_POSITIONS angstrom
La 0.000 0.000 0.000
La 2.573 2.588 5.171
Nd -0.007 0.000 5.171
Sm -0.007 2.588 7.781
Sm 2.576 0.000 2.567
Sm 2.570 0.000 7.776
Sm 5.153 2.588 2.562
Ho 2.580 2.588 0.000
```

Calculated values
The spin magnetization is 0.000 μB/cell. As for the energy of formation from the pure elements: 0.18 eV/f.u.


Record 2
VASP calculation (PBE) on a geometry-optimized LaNd4SmHo2 structure. Values from VASP.

```
&SYSTEM
  ibrav = 0, nat = 8, ntyp = 4
/
ATOMIC_SPECIES
La 138.91 La.upf
Nd 144.24 Nd.upf
Sm 150.36 Sm.upf
Ho 164.93 Ho.upf
CELL_PARAMETERS angstrom
6.288 0.000 0.000
0.000 3.658 0.000
-2.135 0.000 11.902
ATOMIC_POSITIONS angstrom
La 0.000 0.000 0.000
Nd -0.020 0.000 8.923
Nd 1.040 1.829 3.019
Nd 4.174 0.000 2.979
Nd 3.114 1.829 8.883
Sm -1.067 1.829 5.951
Ho 2.077 0.000 5.951
Ho 3.144 1.829 0.000
```

Calculated values
The spin magnetization is 0.000 μB/cell. As for the energy of formation from the pure elements: 0.14 eV/f.u.


Record 3
VASP calculation (PBE) on a geometry-optimized LaNdHoSn structure. Values from VASP.

```
&SYSTEM
  ibrav = 0, nat = 4, ntyp = 4
/
ATOMIC_SPECIES
La 138.91 La.upf
Nd 144.24 Nd.upf
Ho 164.93 Ho.upf
Sn 118.71 Sn.upf
CELL_PARAMETERS angstrom
0.000 3.939 3.939
3.939 0.000 3.939
3.939 3.939 0.000
ATOMIC_POSITIONS angstrom
La 0.000 0.000 0.000
Nd 3.939 3.939 3.939
Ho 5.909 5.909 5.909
Sn 1.970 1.970 1.970
```

Calculated values
The spin magnetization is 0.000 μB/cell. As for the energy of formation from the pure elements: -1.08 eV/f.u.


Record 4
VASP calculation (PBE) on a geometry-optimized SrLaNdHo structure. Values from VASP.

```
&SYSTEM
  ibrav = 0, nat = 4, ntyp = 4
/
ATOMIC_SPECIES
Sr 87.62 Sr.upf
La 138.91 La.upf
Nd 144.24 Nd.upf
Ho 164.93 Ho.upf
CELL_PARAMETERS angstrom
0.000 4.238 4.238
4.238 0.000 4.238
4.238 4.238 0.000
ATOMIC_POSITIONS angstrom
Sr 0.000 0.000 0.000
La 6.358 6.358 6.358
Nd 2.119 2.119 2.119
Ho 4.238 4.238 4.238
```

Calculated values
The spin magnetization is 0.000 μB/cell. As for the energy of formation from the pure elements: 0.81 eV/f.u.


Record 5
VASP calculation (PBE) on a geometry-optimized La2TbNd6Ho structure. Values from VASP.

```
&SYSTEM
  ibrav = 0, nat = 20, ntyp = 4
/
ATOMIC_SPECIES
La 138.91 La.upf
Tb 158.93 Tb.upf
Nd 144.24 Nd.upf
Ho 164.93 Ho.upf
CELL_PARAMETERS angstrom
4.603 -7.652 0.000
4.603 7.652 0.000
-1.819 0.000 9.970
ATOMIC_POSITIONS angstrom
La 2.150 0.745 0.408
La 1.241 -0.745 5.393
La 6.147 0.745 4.577
La 5.237 -0.745 9.562
Tb 4.148 7.460 2.492
Tb 3.239 -7.460 7.477
Nd 2.416 4.305 1.886
Nd 2.969 4.743 5.541
Nd 3.509 4.743 9.413
Nd 2.970 1.556 3.777
Nd 5.880 4.305 3.098
Nd 2.061 -1.556 8.761
Nd 5.326 1.556 1.208
Nd 1.507 -4.305 6.871
Nd 4.417 -1.556 6.193
Nd 3.878 -4.743 0.557
Nd 4.418 -4.743 4.428
Nd 4.971 -4.305 8.083
Ho 3.239 1.456 7.477
Ho 4.148 -1.456 2.492
```

Calculated values
The spin magnetization is 0.000 μB/cell. As for the energy of formation from the pure elements: 1.12 eV/f.u.


Record 6
VASP calculation (PBE) on a geometry-optimized La3Tb6Nd2Ho structure. Values from VASP.

```
&SYSTEM
  ibrav = 0, nat = 12, ntyp = 4
/
ATOMIC_SPECIES
La 138.91 La.upf
Tb 158.93 Tb.upf
Nd 144.24 Nd.upf
Ho 164.93 Ho.upf
CELL_PARAMETERS angstrom
3.144 -5.448 0.000
3.144 5.448 0.000
-2.095 0.000 11.764
ATOMIC_POSITIONS angstrom
La 0.000 0.000 0.000
La 3.144 1.818 0.000
La 3.144 -1.818 0.000
Tb 1.052 1.812 2.980
Tb 0.005 0.000 8.786
Tb 1.052 -1.812 2.980
Tb 3.140 1.812 8.784
Tb 4.188 0.000 2.978
Tb 3.140 -1.812 8.784
Nd 2.096 3.634 5.882
Nd 2.096 -3.634 5.882
Ho 2.096 0.000 5.882
```

Calculated values
The spin magnetization is 0.000 μB/cell. As for the energy of formation from the pure elements: 0.18 eV/f.u.


Record 7
VASP calculation (PBE) on a geometry-optimized LaTb2NdHo5 structure. Values from VASP.

```
&SYSTEM
  ibrav = 0, nat = 18, ntyp = 4
/
ATOMIC_SPECIES
La 138.91 La.upf
Tb 158.93 Tb.upf
Nd 144.24 Nd.upf
Ho 164.93 Ho.upf
CELL_PARAMETERS angstrom
-4.396 4.396 7.650
4.396 -4.396 7.650
4.396 4.396 -7.650
ATOMIC_POSITIONS angstrom
La 0.000 0.000 3.825
La 0.000 0.000 11.475
Tb 5.417 1.022 0.000
Tb 1.022 3.374 0.000
Tb 3.374 1.022 7.650
Tb -1.022 3.374 7.650
Nd 4.396 0.000 3.825
Nd 0.000 4.396 3.825
Ho 0.000 0.000 0.000
Ho 2.600 1.795 -2.027
Ho 2.600 -1.795 5.623
Ho 2.600 1.795 2.027
Ho 2.600 -1.795 9.677
Ho 0.000 0.000 7.650
Ho 1.795 6.191 -2.027
Ho 1.795 2.600 5.623
Ho 1.795 6.191 2.027
Ho 1.795 2.600 9.677
```

Calculated values
The spin magnetization is 0.001 μB/cell. As for the energy of formation from the pure elements: 2.40 eV/f.u.


Record 8
VASP calculation (PBE) on a geometry-optimized La2TbNd4Ho structure. Values from VASP.

```
&SYSTEM
  ibrav = 0, nat = 8, ntyp = 4
/
ATOMIC_SPECIES
La 138.91 La.upf
Tb 158.93 Tb.upf
Nd 144.24 Nd.upf
Ho 164.93 Ho.upf
CELL_PARAMETERS angstrom
5.159 0.000 0.000
0.000 5.182 0.000
-0.024 0.000 10.414
ATOMIC_POSITIONS angstrom
La 0.000 0.000 0.000
La 2.568 2.591 5.207
Tb -0.012 0.000 5.207
Nd -0.014 2.591 7.820
Nd 2.574 0.000 2.603
Nd 2.562 0.000 7.811
Nd 5.150 2.591 2.593
Ho 2.580 2.591 0.000
```

Calculated values
The spin magnetization is 0.000 μB/cell. As for the energy of formation from the pure elements: 0.18 eV/f.u.


Record 9
VASP calculation (PBE) on a geometry-optimized LaTb2Nd6Ho structure. Values from VASP.

```
&SYSTEM
  ibrav = 0, nat = 20, ntyp = 4
/
ATOMIC_SPECIES
La 138.91 La.upf
Tb 158.93 Tb.upf
Nd 144.24 Nd.upf
Ho 164.93 Ho.upf
CELL_PARAMETERS angstrom
4.670 -7.670 0.000
4.670 7.670 0.000
-1.230 0.000 9.704
ATOMIC_POSITIONS angstrom
La 3.747 7.254 7.278
La 4.362 -7.254 2.426
Tb 1.663 0.761 5.316
Tb 2.278 -0.761 0.464
Tb 5.832 0.761 9.240
Tb 6.447 -0.761 4.388
Nd 1.831 4.229 6.646
Nd 3.998 4.880 0.536
Nd 4.727 4.880 4.316
Nd 2.679 1.651 8.557
Nd 5.663 4.229 7.910
Nd 4.815 1.651 5.999
Nd 3.294 -1.651 3.705
Nd 2.446 -4.229 1.794
Nd 5.431 -1.651 1.147
Nd 3.382 -4.880 5.388
Nd 4.112 -4.880 9.168
Nd 6.279 -4.229 3.058
Ho 4.362 1.383 2.426
Ho 3.747 -1.383 7.278
```

Calculated values
The spin magnetization is 0.000 μB/cell. As for the energy of formation from the pure elements: 1.13 eV/f.u.


Record 10
VASP calculation (PBE) on a geometry-optimized LaTbNd3Ho structure. Values from VASP.

```
&SYSTEM
  ibrav = 0, nat = 12, ntyp = 4
/
ATOMIC_SPECIES
La 138.91 La.upf
Tb 158.93 Tb.upf
Nd 144.24 Nd.upf
Ho 164.93 Ho.upf
CELL_PARAMETERS angstrom
10.328 -2.922 0.000
10.328 2.922 0.000
-0.149 0.000 6.880
ATOMIC_POSITIONS angstrom
La 3.014 0.000 0.163
La 17.494 0.000 6.717
Tb 9.043 0.000 5.040
Tb 11.464 0.000 1.840
Nd 0.268 0.000 5.139
Nd 5.683 0.000 5.072
Nd 6.998 0.000 1.774
Nd 13.509 0.000 5.107
Nd 14.825 0.000 1.809
Nd 20.239 0.000 1.741
Ho 2.886 0.000 3.263
Ho 17.621 0.000 3.617
```

Calculated values
The spin magnetization is 0.000 μB/cell. As for the energy of formation from the pure elements: 1.08 eV/f.u.


Record 11
VASP calculation (PBE) on a geometry-optimized La2Tb2Nd2Ho structure. Values from VASP.

```
&SYSTEM
  ibrav = 0, nat = 7, ntyp = 4
/
ATOMIC_SPECIES
La 138.91 La.upf
Tb 158.93 Tb.upf
Nd 144.24 Nd.upf
Ho 164.93 Ho.upf
CELL_PARAMETERS angstrom
5.750 -2.580 0.000
5.750 2.580 0.000
-1.169 0.000 8.093
ATOMIC_POSITIONS angstrom
La 1.139 0.000 3.440
La 9.191 0.000 4.653
Tb 4.613 0.000 2.294
Tb 5.717 0.000 5.799
Nd 2.273 0.000 6.961
Nd 8.057 0.000 1.132
Ho 0.000 0.000 0.000
```

Calculated values
The spin magnetization is 0.000 μB/cell. As for the energy of formation from the pure elements: 0.17 eV/f.u.


Record 12
VASP calculation (PBE) on a geometry-optimized LaTbNd2Ho4 structure. Values from VASP.

```
&SYSTEM
  ibrav = 0, nat = 16, ntyp = 4
/
ATOMIC_SPECIES
La 138.91 La.upf
Tb 158.93 Tb.upf
Nd 144.24 Nd.upf
Ho 164.93 Ho.upf
CELL_PARAMETERS angstrom
5.111 -5.118 0.000
5.111 5.118 0.000
0.000 0.000 10.070
ATOMIC_POSITIONS angstrom
La 0.000 0.000 0.000
La 0.000 0.000 5.035
Tb 2.555 2.559 0.000
Tb 2.555 -2.559 0.000
Nd 2.555 2.559 5.035
Nd 2.555 -2.559 5.035
Nd 5.111 0.000 0.000
Nd 5.111 0.000 5.035
Ho 2.571 0.000 2.502
Ho 2.571 0.000 7.568
Ho 5.111 2.543 2.504
Ho 5.111 2.543 7.566
Ho 5.111 -2.543 2.504
Ho 5.111 -2.543 7.566
Ho 7.651 0.000 2.502
Ho 7.651 0.000 7.568
```

Calculated values
The spin magnetization is 0.000 μB/cell. As for the energy of formation from the pure elements: 0.18 eV/f.u.


Record 13
VASP calculation (PBE) on a geometry-optimized La4TbNdHo2 structure. Values from VASP.

```
&SYSTEM
  ibrav = 0, nat = 8, ntyp = 4
/
ATOMIC_SPECIES
La 138.91 La.upf
Tb 158.93 Tb.upf
Nd 144.24 Nd.upf
Ho 164.93 Ho.upf
CELL_PARAMETERS angstrom
5.216 0.000 0.000
0.000 5.252 0.000
0.000 0.000 10.098
ATOMIC_POSITIONS angstrom
La 0.000 0.000 2.501
La 0.000 0.000 7.597
La 2.608 2.626 2.507
La 2.608 2.626 7.591
Tb 0.000 2.626 0.000
Nd 2.608 0.000 5.049
Ho 0.000 2.626 5.049
Ho 2.608 0.000 0.000
```

Calculated values
The spin magnetization is 0.000 μB/cell. As for the energy of formation from the pure elements: 0.14 eV/f.u.


Record 14
VASP calculation (PBE) on a geometry-optimized La2TbNd2Ho structure. Values from VASP.

```
&SYSTEM
  ibrav = 0, nat = 12, ntyp = 4
/
ATOMIC_SPECIES
La 138.91 La.upf
Tb 158.93 Tb.upf
Nd 144.24 Nd.upf
Ho 164.93 Ho.upf
CELL_PARAMETERS angstrom
7.140 0.000 0.000
0.000 5.775 0.000
0.000 0.000 9.999
ATOMIC_POSITIONS angstrom
La 0.000 0.000 0.000
La 1.785 2.887 1.766
La 3.570 0.000 0.000
La 5.355 2.887 8.234
Tb 1.785 0.000 6.572
Tb 5.355 0.000 3.427
Nd 1.785 0.000 3.322
Nd 1.785 2.887 8.348
Nd 5.355 0.000 6.678
Nd 5.355 2.887 1.651
Ho 0.000 2.887 5.000
Ho 3.570 2.887 5.000
```

Calculated values
The spin magnetization is 0.000 μB/cell. As for the energy of formation from the pure elements: 0.32 eV/f.u.


Record 15
VASP calculation (PBE) on a geometry-optimized La6TbNd2Ho structure. Values from VASP.

```
&SYSTEM
  ibrav = 0, nat = 20, ntyp = 4
/
ATOMIC_SPECIES
La 138.91 La.upf
Tb 158.93 Tb.upf
Nd 144.24 Nd.upf
Ho 164.93 Ho.upf
CELL_PARAMETERS angstrom
4.951 -7.694 0.000
4.951 7.694 0.000
-0.047 0.000 9.303
ATOMIC_POSITIONS angstrom
La 2.461 3.360 6.334
La 4.173 5.454 8.426
La 5.658 5.454 5.528
La 4.215 2.287 0.856
La 5.664 2.287 3.795
La 2.485 -3.360 1.682
La 7.370 3.360 7.621
La 4.192 -2.287 5.508
La 5.640 -2.287 8.447
La 4.197 -5.454 3.775
La 5.682 -5.454 0.877
La 7.394 -3.360 2.969
Tb 4.916 1.037 6.977
Tb 4.939 -1.037 2.326
Nd 2.454 0.687 4.065
Nd 2.431 -0.687 8.716
Nd 7.424 0.687 0.587
Nd 7.401 -0.687 5.238
Ho 4.939 6.624 2.326
Ho 4.916 -6.624 6.977
```

Calculated values
The spin magnetization is 0.000 μB/cell. As for the energy of formation from the pure elements: 1.12 eV/f.u.


Record 16
VASP calculation (PBE) on a geometry-optimized La2TbNdHo structure. Values from VASP.

```
&SYSTEM
  ibrav = 0, nat = 10, ntyp = 4
/
ATOMIC_SPECIES
La 138.91 La.upf
Tb 158.93 Tb.upf
Nd 144.24 Nd.upf
Ho 164.93 Ho.upf
CELL_PARAMETERS angstrom
6.521 0.000 0.000
0.000 7.908 0.000
0.000 0.000 6.781
ATOMIC_POSITIONS angstrom
La 1.630 1.601 1.434
La 1.630 6.308 1.434
La 4.891 1.601 5.347
La 4.891 6.308 5.347
Tb 1.630 0.000 4.642
Tb 4.891 0.000 2.139
Nd 1.630 3.954 6.179
Nd 4.891 3.954 0.602
Ho 0.000 3.954 3.390
Ho 3.261 3.954 3.390
```

Calculated values
The spin magnetization is 0.000 μB/cell. As for the energy of formation from the pure elements: 1.11 eV/f.u.


Record 17
VASP calculation (PBE) on a geometry-optimized LaTbNd5Ho2 structure. Values from VASP.

```
&SYSTEM
  ibrav = 0, nat = 18, ntyp = 4
/
ATOMIC_SPECIES
La 138.91 La.upf
Tb 158.93 Tb.upf
Nd 144.24 Nd.upf
Ho 164.93 Ho.upf
CELL_PARAMETERS angstrom
2.868 -10.186 0.000
2.868 10.186 0.000
0.000 0.000 10.700
ATOMIC_POSITIONS angstrom
La 2.868 8.468 5.350
La 2.868 -8.468 0.000
Tb 2.868 4.062 0.642
Tb 2.868 -4.062 5.993
Nd 2.868 9.761 8.454
Nd 2.868 7.869 0.789
Nd 2.868 6.026 8.078
Nd 2.868 5.716 3.880
Nd 2.868 0.342 0.781
Nd 2.868 -0.342 6.132
Nd 2.868 -5.716 9.231
Nd 2.868 -6.026 2.728
Nd 2.868 -7.869 6.140
Nd 2.868 -9.761 3.104
Ho 2.868 2.367 3.953
Ho 2.868 2.305 8.379
Ho 2.868 -2.305 3.029
Ho 2.868 -2.367 9.303
```

Calculated values
The spin magnetization is 0.000 μB/cell. As for the energy of formation from the pure elements: 1.33 eV/f.u.


Record 18
VASP calculation (PBE) on a geometry-optimized La3TbNd6Ho2 structure. Values from VASP.

```
&SYSTEM
  ibrav = 0, nat = 12, ntyp = 4
/
ATOMIC_SPECIES
La 138.91 La.upf
Tb 158.93 Tb.upf
Nd 144.24 Nd.upf
Ho 164.93 Ho.upf
CELL_PARAMETERS angstrom
3.174 -5.503 0.000
3.174 5.503 0.000
-2.126 0.000 11.938
ATOMIC_POSITIONS angstrom
La 0.000 0.000 0.000
La 3.174 1.837 0.000
La 3.174 -1.837 0.000
Tb 2.111 0.000 5.969
Nd 1.054 1.836 3.059
Nd -0.009 0.000 8.879
Nd 1.054 -1.836 3.059
Nd 3.168 1.836 8.879
Nd 4.231 0.000 3.059
Nd 3.168 -1.836 8.879
Ho 2.111 3.669 5.969
Ho 2.111 -3.669 5.969
```

Calculated values
The spin magnetization is 0.000 μB/cell. As for the energy of formation from the pure elements: 0.23 eV/f.u.


Record 19
VASP calculation (PBE) on a geometry-optimized LaTb4NdHo2 structure. Values from VASP.

```
&SYSTEM
  ibrav = 0, nat = 16, ntyp = 4
/
ATOMIC_SPECIES
La 138.91 La.upf
Tb 158.93 Tb.upf
Nd 144.24 Nd.upf
Ho 164.93 Ho.upf
CELL_PARAMETERS angstrom
7.189 0.000 0.000
0.000 7.191 0.000
-0.010 0.000 10.137
ATOMIC_POSITIONS angstrom
La 0.000 0.000 0.000
La 3.595 0.000 0.000
Tb 1.777 1.819 2.573
Tb 1.778 1.820 7.564
Tb 1.777 5.372 2.573
Tb 1.778 5.371 7.564
Tb 5.401 1.820 2.574
Tb 5.402 1.819 7.564
Tb 5.401 5.371 2.574
Tb 5.402 5.372 7.564
Nd 3.589 0.000 5.069
Nd 3.595 3.595 0.000
Ho -0.005 0.000 5.069
Ho 0.000 3.595 0.000
Ho -0.005 3.595 5.069
Ho 3.589 3.595 5.069
```

Calculated values
The spin magnetization is 0.000 μB/cell. As for the energy of formation from the pure elements: 0.15 eV/f.u.


Record 20
VASP calculation (PBE) on a geometry-optimized La2Tb5NdHo structure. Values from VASP.

```
&SYSTEM
  ibrav = 0, nat = 18, ntyp = 4
/
ATOMIC_SPECIES
La 138.91 La.upf
Tb 158.93 Tb.upf
Nd 144.24 Nd.upf
Ho 164.93 Ho.upf
CELL_PARAMETERS angstrom
-4.354 4.354 7.959
4.354 -4.354 7.959
4.354 4.354 -7.959
ATOMIC_POSITIONS angstrom
La 5.381 1.027 0.000
La 1.027 3.327 0.000
La 3.327 1.027 7.959
La -1.027 3.327 7.959
Tb 0.000 0.000 0.000
Tb 2.474 1.880 -2.248
Tb 2.474 -1.880 5.711
Tb 2.474 1.880 2.248
Tb 2.474 -1.880 10.207
Tb 0.000 0.000 7.959
Tb 1.880 6.234 -2.248
Tb 1.880 2.474 5.711
Tb 1.880 6.234 2.248
Tb 1.880 2.474 10.207
Nd 0.000 0.000 3.980
Nd 0.000 0.000 11.939
Ho 4.354 0.000 3.980
Ho 0.000 4.354 3.980
```

Calculated values
The spin magnetization is 0.000 μB/cell. As for the energy of formation from the pure elements: 2.28 eV/f.u.